The following is a PBE calculation of Pm2PrPb after structural relaxation, from the Alexandria database.

Cell lengths 3.5510, 3.5510, 12.4966 Å; angles 81.83, 81.83, 60.00 degrees
Sites, in units of the cell vectors:
Pb  0.5000  0.5000  0.5000
Pr  0.0000  0.0000  0.0000
Pm  0.0935  0.0935  0.7195
Pm  0.9065  0.9065  0.2805

N(E_F) ... 6.766 states/eV/cell
DFT formation energy ... 0.031 eV per atom
VASP energy ... -4.47 eV per atom
Excess energy over the best structure of this formula in the dataset ... 0.366 eV per atom